Entry 1:
Here is an optimized crystal structure of V3FeCo2P6O24 from Alexandria. Energies are from PBE+U.

Structure (extended XYZ):
```
36
Lattice="8.513 0.012 0.008 4.144 7.436 0.008 4.144 2.438 7.025" Properties=species:S:1:pos:R:3 pbc="T T T"
V 10.813 6.363 4.532
V 14.418 8.484 6.043
V 5.997 3.529 2.513
Fe 2.392 1.408 1.003
Co 0.012 0.007 0.005
Co 8.408 4.948 3.524
P 11.423 3.188 3.820
P 9.614 7.727 1.764
P 8.334 6.368 6.726
P 8.456 3.517 0.311
P 7.181 2.152 5.270
P 5.368 6.691 3.222
O 6.070 1.636 2.203
O 5.235 4.036 0.826
O 4.378 3.557 3.544
O 11.437 2.470 5.208
O 10.816 2.350 2.716
O 10.503 4.452 3.960
O 10.562 7.216 0.632
O 9.643 6.658 2.913
O 9.497 4.614 0.036
O 8.992 6.037 5.340
O 9.052 2.096 0.374
O 8.645 2.015 5.717
O 8.167 7.836 1.333
O 7.713 7.798 6.613
O 7.831 3.886 1.698
O 7.306 5.284 6.970
O 7.200 3.226 4.132
O 6.228 2.608 6.395
O 6.316 5.450 3.117
O 5.959 7.553 4.349
O 5.304 7.409 1.859
O 12.437 6.273 3.555
O 11.523 5.918 6.234
O 10.769 8.245 4.767
```

Properties
M_tot	14.5	μB/f.u.


Entry 2:
Here is an optimized crystal structure of Fe3Co2P6WO24 from Alexandria. Energies are from PBE+U.

Structure (extended XYZ):
```
36
Lattice="8.553 0.023 0.016 4.178 7.463 0.016 4.178 2.457 7.047" Properties=species:S:1:pos:R:3 pbc="T T T"
Fe 10.878 6.396 4.555
Fe 14.502 8.527 6.072
Fe 6.052 3.558 2.534
Co 16.838 9.901 7.050
Co 8.459 4.974 3.542
P 11.535 3.244 3.855
P 9.719 7.792 1.805
P 8.443 6.425 6.773
P 8.453 3.587 0.344
P 7.244 2.171 5.220
P 5.419 6.658 3.277
W 2.383 1.401 0.998
O 6.081 1.685 2.240
O 5.287 4.017 0.859
O 4.429 3.587 3.515
O 11.528 2.515 5.209
O 2.373 2.286 2.736
O 10.559 4.452 3.868
O 10.625 7.280 0.672
O 9.600 6.742 2.941
O 9.497 4.663 0.118
O 9.024 5.965 5.409
O 9.124 2.154 0.513
O 8.692 2.085 5.661
O 4.066 0.453 1.266
O 7.802 7.818 6.660
O 7.807 3.912 1.739
O 3.151 2.900 0.014
O 7.214 3.253 4.081
O 6.319 2.750 6.377
O 6.350 5.402 3.128
O 6.048 7.503 4.368
O 5.475 7.395 1.868
O 12.509 6.358 3.496
O 11.638 5.869 6.265
O 10.786 8.314 4.864
```

Properties
M_tot	14.1	μB/f.u.


Entry 3:
Here is an optimized crystal structure of PaFeCo2O6 from Alexandria. Energies are from PBE+U.

Structure (extended XYZ):
```
10
Lattice="-4.516 1.140 2.302 -1.606 -2.777 4.087 0.245 2.506 5.102" Properties=species:S:1:pos:R:3 pbc="T T T"
Pa -1.891 -0.346 2.324
Fe -4.894 0.004 7.986
Co -2.990 0.367 5.679
Co 0.122 2.342 4.941
O -3.131 0.708 3.772
O -2.421 -1.478 5.471
O -4.869 -0.068 5.905
O -2.922 0.322 7.660
O -3.264 2.321 5.870
O -1.050 0.770 5.759
```

Properties
M_tot	7.0	μB/f.u.


Entry 4:
Here is an optimized crystal structure of Pm2FeCoO6 from Alexandria. Energies are from PBE+U.

Structure (extended XYZ):
```
20
Lattice="5.392 0.000 -0.030 0.000 5.546 0.000 0.005 0.000 7.683" Properties=species:S:1:pos:R:3 pbc="T T T"
Pm 0.072 5.243 1.917
Pm 2.771 3.076 5.744
Pm 5.325 0.303 5.736
Pm 2.626 2.470 1.909
Fe 2.696 0.000 -0.015
Fe 0.003 2.773 3.842
Co 2.699 0.000 3.827
Co 0.000 2.773 0.000
O 1.560 3.901 0.339
O 4.259 4.418 4.166
O 3.838 1.645 7.314
O 1.139 1.128 3.488
O 1.614 3.945 3.481
O 4.313 4.374 7.308
O 3.783 1.601 4.172
O 1.084 1.172 0.346
O 4.931 2.890 1.859
O 2.238 5.429 5.716
O 0.466 2.656 5.794
O 3.160 0.117 1.938
```

Properties
M_tot	5.1	μB/f.u.


Entry 5:
Here is an optimized crystal structure of PmFeCo2O6 from Alexandria. Energies are from PBE+U.

Structure (extended XYZ):
```
10
Lattice="-5.198 -0.580 -0.051 -2.597 -0.708 4.485 -3.087 3.919 1.881" Properties=species:S:1:pos:R:3 pbc="T T T"
Pm -8.121 1.610 4.703
Fe -2.634 -0.111 1.507
Co -5.413 1.064 3.134
Co -3.068 3.747 1.865
O -4.655 0.300 1.523
O -4.307 0.074 4.380
O -6.947 -0.116 3.228
O -5.947 2.187 4.660
O -6.583 2.343 2.203
O -4.147 2.552 2.901
```

Properties
M_tot	4.9	μB/f.u.


Entry 6:
Here is an optimized crystal structure of SrPrFeCoO6 from Alexandria. Energies are from PBE+U.

Structure (extended XYZ):
```
10
Lattice="-1.716 -2.493 4.566 5.165 -1.151 1.348 -1.426 5.167 -0.999" Properties=species:S:1:pos:R:3 pbc="T T T"
Pr 0.175 1.669 1.018
Sr 1.868 -0.152 3.934
Co 1.158 4.590 -0.323
Fe -0.856 -1.248 2.288
O 1.756 3.557 1.179
O -0.645 4.231 0.202
O 0.254 -2.119 3.682
O 2.695 -2.654 4.796
O 2.519 1.021 1.733
O -0.536 0.546 3.110
```

Properties
M_tot	6.0	μB/f.u.


Entry 7:
Here is an optimized crystal structure of FeCo2PtO6 from Alexandria. Energies are from PBE+U.

Structure (extended XYZ):
```
10
Lattice="-4.825 1.563 -0.584 -2.975 -2.166 -3.542 -3.983 -3.317 1.689" Properties=species:S:1:pos:R:3 pbc="T T T"
Fe -8.597 -2.397 -2.362
Co -5.779 -1.707 -1.466
Co -3.953 -3.249 1.623
Pt -2.640 -0.292 -1.286
O -4.589 -0.288 -0.691
O -4.732 -2.487 -2.991
O -7.287 -0.705 -2.330
O -7.157 -3.501 -1.565
O -6.896 -1.587 0.498
O -4.704 -3.233 -0.188
```

Properties
M_tot	8.0	μB/f.u.


Entry 8:
Here is an optimized crystal structure of Rb2FeCoO4 from Alexandria. Energies are from PBE+U.

Structure (extended XYZ):
```
16
Lattice="5.166 0.000 0.000 2.583 5.833 0.000 2.583 0.000 10.785" Properties=species:S:1:pos:R:3 pbc="T T T"
Rb 2.583 0.000 7.111
Rb 5.166 0.000 3.674
Rb 6.457 2.916 9.066
Rb 6.457 2.916 1.718
Fe 6.457 2.916 5.392
Fe 0.000 0.000 0.000
Co 3.874 2.916 5.392
Co 2.583 0.000 0.000
O 3.873 4.949 1.061
O 3.873 0.883 9.724
O 9.042 4.949 9.724
O 3.876 0.883 1.061
O 5.168 3.799 4.331
O 5.168 2.033 6.453
O 7.747 3.799 6.453
O 2.581 2.033 4.331
```

Properties
M_tot	7.0	μB/f.u.


Entry 9:
Here is an optimized crystal structure of Fe2CoRhO6 from Alexandria. Energies are from PBE+U.

Structure (extended XYZ):
```
10
Lattice="4.996 0.000 0.000 2.498 4.326 0.000 2.498 1.442 4.560" Properties=species:S:1:pos:R:3 pbc="T T T"
Fe 4.996 2.884 2.130
Fe 2.498 1.442 4.298
Co 7.493 4.326 2.449
Rh 2.498 1.442 0.230
O 4.290 1.328 1.207
O 4.001 4.274 1.207
O 6.696 3.051 1.208
O 5.795 4.210 3.381
O 5.744 1.529 3.381
O 3.448 2.914 3.381
```

Properties
M_tot	5.9	μB/f.u.


Entry 10:
Here is an optimized crystal structure of FeCoRh2O6 from Alexandria. Energies are from PBE+U.

Structure (extended XYZ):
```
10
Lattice="5.164 0.000 0.000 2.582 4.472 0.000 2.582 1.491 4.622" Properties=species:S:1:pos:R:3 pbc="T T T"
Fe 7.746 4.472 2.585
Co 2.582 1.491 0.285
Rh 5.164 2.982 2.116
Rh 2.582 1.491 4.435
O 4.389 1.359 1.151
O 4.146 4.464 1.151
O 6.957 3.122 1.151
O 5.966 4.368 3.436
O 5.964 1.594 3.436
O 3.563 2.983 3.436
```

Properties
M_tot	6.9	μB/f.u.


Entry 11:
Here is an optimized crystal structure of FeCo2RuO6 from Alexandria. Energies are from PBE+U.

Structure (extended XYZ):
```
10
Lattice="4.978 0.000 0.000 2.489 4.311 0.000 2.489 1.437 4.593" Properties=species:S:1:pos:R:3 pbc="T T T"
Fe 7.467 4.311 2.469
Co 4.978 2.874 2.156
Co 2.489 1.437 4.283
Ru 2.489 1.437 0.235
O 4.208 1.367 1.223
O 4.058 4.295 1.223
O 6.669 2.961 1.223
O 5.774 4.144 3.407
O 5.679 1.551 3.407
O 3.481 2.929 3.407
```

Properties
M_tot	6.0	μB/f.u.


Entry 12:
Here is an optimized crystal structure of FeCoRu2O from Alexandria. Energies are from PBE+U.

Structure (extended XYZ):
```
5
Lattice="-0.216 -2.494 3.211 -0.174 -3.038 -2.371 4.062 -0.277 0.057" Properties=species:S:1:pos:R:3 pbc="T T T"
Ru 2.031 -0.139 0.029
Ru -0.108 -1.247 1.606
Co -0.087 -1.519 -1.186
Fe 1.836 -2.905 0.449
O 0.000 0.000 0.000
```

Properties
M_tot	7.0	μB/f.u.


| no. | final energy (eV/atom) |
| --- | --- |
| 1 | -7.258 |
| 2 | -6.975 |
| 3 | -7.371 |
| 4 | -7.356 |
| 5 | -6.637 |
| 6 | -6.756 |
| 7 | -6.106 |
| 8 | -5.235 |
| 9 | -6.320 |
| 10 | -6.459 |
| 11 | -6.361 |
| 12 | -6.451 |